Record 1
Material: ErBO3
Method: DFT, PBE
State: optimized geometry

Cell and atoms, written as POSCAR:
```
ErBO3
1.0
-2.4275 -1.8152 -3.3326
-1.0518 -4.0192 1.7417
-4.2022 0.7232 1.4534
Er B O
1 1 3
direct
0.4232 0.4232 0.4232
0.1580 0.1580 0.1580
0.9049 0.3194 0.3194
0.3194 0.3194 0.9049
0.3194 0.9049 0.3194
```

Results
Energy relative to the elements, uncorrected ... -2.811 eV per atom
Space group ... R3m


Record 2
Material: ErLu2Pt
Method: DFT, PBE
State: optimized geometry

Cell and atoms, written as POSCAR:
```
ErLu2Pt
1.0
3.7704 0.0000 0.0000
1.8852 3.2653 0.0000
1.8852 1.0884 9.2255
Er Lu Pt
1 2 1
direct
0.5000 0.5000 0.5000
0.2721 0.2721 0.1836
0.7279 0.7279 0.8164
0.0000 0.0000 0.0000
```

Results
Formation enthalpy at 0 K ... -516 meV/atom
Energy above the most stable polymorph in this dataset ... 0.118 eV per atom
Space group ... R-3m


Record 3
Material: Ce2Tm3Os2
Method: DFT, PBE
State: optimized geometry

Cell and atoms, written as POSCAR:
```
Ce2Tm3Os2
1.0
3.7304 0.0003 -0.8362
-2.2964 5.5960 -1.5138
-0.0440 0.2294 8.5356
Os Tm Ce
2 3 2
direct
0.9619 0.1489 0.7752
0.0381 0.8511 0.2248
0.1983 0.8205 0.5760
0.5000 0.0000 0.0000
0.8017 0.1795 0.4240
0.3579 0.5241 0.1922
0.6421 0.4759 0.8078
```

Results
Formation enthalpy at 0 K ... -238 meV/atom
Space group ... C2/m


Record 4
Material: NaCeTl2F6
Method: DFT, PBE
State: optimized geometry

Cell and atoms, written as POSCAR:
```
NaCeTl2F6
1.0
-5.3945 -2.4649 -2.7668
-0.6453 -4.1158 4.9248
0.5314 6.3483 1.1505
F Na Ce Tl
6 1 1 2
direct
0.8030 0.3014 0.0953
0.1970 0.2061 0.9047
0.6750 0.2540 0.5081
0.1970 0.6986 0.9047
0.3250 0.7460 0.4919
0.8030 0.7939 0.0953
0.5000 0.0000 0.0000
0.0000 0.5000 0.0000
0.7608 0.7474 0.4947
0.2392 0.2526 0.5053
```

Results
Energy relative to the elements, uncorrected ... -2.840 eV per atom
Space group ... C2/m


Record 5
Material: MgZr4Pt
Method: DFT, PBE
State: optimized geometry

Cell and atoms, written as POSCAR:
```
MgZr4Pt
1.0
7.4701 0.7267 0.0000
-2.3517 7.1274 0.0000
-2.5592 -3.9270 5.8617
Zr Pt Mg
8 2 2
direct
0.7996 0.9845 0.8151
0.2659 0.5911 0.3252
0.7345 0.4195 0.6849
0.7345 0.0496 0.3151
0.3411 0.5159 0.8252
0.2659 0.9407 0.6748
0.1695 0.9845 0.1849
0.6907 0.5159 0.1748
0.7536 0.7536 0.0000
0.5036 0.0036 0.5000
0.9955 0.4955 0.5000
0.2455 0.2455 0.0000
```

Results
Formation enthalpy at 0 K ... 498 meV/atom
Energy above the most stable polymorph in this dataset ... 0.339 eV per atom
Space group ... I4_1md


Record 6
Material: LiY2AsSe
Method: DFT, PBE
State: optimized geometry

Cell and atoms, written as POSCAR:
```
LiY2AsSe
1.0
-3.1336 -4.1830 0.7233
2.2644 -1.1472 3.1759
-3.0634 2.8507 3.2139
Y As Se Li
2 1 1 1
direct
0.5000 0.0000 0.0000
0.0000 0.0000 0.5000
0.5000 0.5000 0.5000
0.0000 0.5000 0.0000
0.0000 0.0000 0.0000
```

Results
Energy relative to the elements, uncorrected ... -0.435 eV per atom
Space group ... P4/mmm


Record 7
Material: Na4Nd3PuO8
Method: DFT, PBE
State: optimized geometry

Cell and atoms, written as POSCAR:
```
Na4Nd3PuO8
1.0
-5.4551 2.5143 -3.8710
-2.9683 -6.3303 0.0713
1.8463 3.2372 6.0966
Na O Pu Nd
4 8 1 3
direct
0.0000 0.0000 0.5000
0.5000 0.0000 0.5000
0.5000 0.0000 0.0000
0.0000 0.0000 0.0000
0.7444 0.7163 0.9804
0.7391 0.7172 0.4782
0.2360 0.7163 0.4720
0.2556 0.2837 0.0196
0.2609 0.2828 0.5218
0.2360 0.7163 0.9804
0.7640 0.2837 0.5280
0.7640 0.2837 0.0196
0.0000 0.5000 0.0000
0.5000 0.5000 0.5000
0.5000 0.5000 0.0000
0.0000 0.5000 0.5000
```

Results
Energy relative to the elements, uncorrected ... -2.541 eV per atom
Space group ... R-3m


Record 8
Material: Re2PtAu
Method: DFT, PBE
State: optimized geometry

Cell and atoms, written as POSCAR:
```
Re2PtAu
1.0
2.7411 0.0120 0.0000
-1.2403 2.4445 0.0000
0.0000 0.0000 9.6078
Pt Re Au
1 2 1
direct
0.5000 0.5000 0.7607
0.0000 0.0000 0.0072
0.5000 0.5000 0.2339
0.0000 0.0000 0.4982
```

Results
Formation enthalpy at 0 K ... 274 meV/atom
Energy above the most stable polymorph in this dataset ... 0.202 eV per atom
Space group ... Cmm2


Record 9
Material: Pa2CrMo
Method: DFT, PBE
State: optimized geometry

Cell and atoms, written as POSCAR:
```
Pa2CrMo
1.0
-0.2982 -3.2850 3.5621
3.2584 0.0192 3.5988
-1.3224 1.3739 4.4645
Pa Mo Cr
2 1 1
direct
0.2500 0.2500 0.2500
0.7500 0.7500 0.7500
0.5000 0.5000 0.5000
0.0000 0.0000 0.0000
```

Results
Formation enthalpy at 0 K ... 325 meV/atom
Energy above the most stable polymorph in this dataset ... 0.000 eV per atom
Space group ... Fm-3m


Record 10
Material: CaDyRh
Method: DFT, PBE
State: optimized geometry

Cell and atoms, written as POSCAR:
```
CaDyRh
1.0
3.4455 0.0000 0.0000
0.0000 3.4455 0.0000
-1.7228 -1.7228 6.5794
Dy Ca Rh
1 1 1
direct
0.2896 0.2896 0.5792
0.0333 0.0333 0.0667
0.6771 0.6771 0.3542
```

Results
Formation enthalpy at 0 K ... -493 meV/atom
Energy above the most stable polymorph in this dataset ... 0.000 eV per atom
Space group ... I4mm


Record 11
Material: TaCrSi2
Method: DFT, PBE
State: optimized geometry

Cell and atoms, written as POSCAR:
```
TaCrSi2
1.0
2.9164 0.0000 0.0000
0.0000 2.9164 0.0000
0.0000 0.0000 6.4099
Cr Ta Si
1 1 2
direct
0.5000 0.5000 0.7500
0.5000 0.5000 0.2500
0.0000 0.0000 0.5444
0.0000 0.0000 0.9556
```

Results
Energy relative to the elements, uncorrected ... -0.153 eV per atom
Space group ... P4/mmm


Record 12
Material: Sb3PbC
Method: DFT, PBE
State: optimized geometry

Cell and atoms, written as POSCAR:
```
Sb3PbC
1.0
-1.4370 3.0741 -3.5698
-4.1465 -2.5967 -0.5670
-2.2360 2.8399 3.3457
Sb Pb C
3 1 1
direct
0.0000 0.5000 0.0000
0.0000 0.0000 0.5000
0.5000 0.0000 0.0000
0.5000 0.5000 0.5000
0.0000 0.0000 0.0000
```

Results
Energy relative to the elements, uncorrected ... 0.850 eV per atom
Energy above the most stable polymorph in this dataset ... 0.000 eV per atom
Space group ... Pm-3m


| no. | magnetization (μB/f.u.) |
| --- | --- |
| 1 | 0.00 |
| 2 | 0.00 |
| 3 | 1.25 |
| 4 | 0.93 |
| 5 | 0.00 |
| 6 | 1.00 |
| 7 | 5.00 |
| 8 | 0.00 |
| 9 | 1.11 |
| 10 | 0.00 |
| 11 | 0.47 |
| 12 | 0.00 |